! PBE ZnWSe2, relaxed; values from VASP
&SYSTEM
  ibrav = 0, nat = 4, ntyp = 3
/
ATOMIC_SPECIES
Zn 65.41 Zn.upf
W 183.84 W.upf
Se 78.96 Se.upf
ATOMIC_POSITIONS angstrom
Zn 0.0000 0.0000 0.0000
W 2.7456 0.0000 0.0114
Se 3.9891 0.0000 4.8267
Se 6.7423 0.0000 1.6789
CELL_PARAMETERS angstrom
4.9555 -1.5890 0.0000
4.9555 1.5890 0.0000
-2.7499 0.0000 6.4825
! - VASP energy: -21.2 eV per formula unit
! - Energy relative to the elements, uncorrected: -0.009 eV per atom